Computed, not measured: a relaxed structure of ReTc2P at the GGA-PBE level of DFT.

Cell: 5.077 5.077 5.077 Å, 146.84 129.11 62.10°
Positions (direct):
1 Re 0.500 0.000 0.500
2 Tc 0.782 0.782 0.000
3 Tc 0.218 0.218 0.000
4 P 0.000 0.500 0.500

Its formation enthalpy at 0 K is -0.190 eV per atom. As for the space group: Immm (71).



Computed, not measured: a relaxed structure of HgAsPdSe2 at the GGA-PBE level of DFT.

Cell: 5.163 5.163 4.689 Å, 90.00 90.00 90.00°
Positions (direct):
1 As 0.000 0.000 0.500
2 Se 0.000 0.500 0.000
3 Se 0.500 0.000 0.000
4 Hg 0.500 0.500 0.500
5 Pd 0.000 0.000 0.000

As for the space group: P4/mmm (123). The formation energy (no corrections) comes out at 414 meV/atom. The relative energy among the computed polymorphs is 0.000 eV/atom.